First-principles (PBE) data for crystalline InH2Au at its relaxed geometry, as listed in Alexandria via LeMat-Bulk.

POSCAR file:
```
InH2Au
1.0
-3.339 1.739 -5.416
-0.313 -2.054 -2.903
-7.809 -4.826 1.995
In H Au
2 4 2
Direct
0.751 0.350 0.304 In
0.249 0.650 0.696 In
0.216 0.097 0.052 H
0.287 0.841 0.055 H
0.784 0.903 0.948 H
0.713 0.159 0.945 H
0.000 0.500 0.500 Au
0.500 0.000 0.500 Au
```

E above lowest polymorph	0	meV per atom


First-principles (PBE) data for crystalline K2InH6Au at its relaxed geometry, as listed in Alexandria via LeMat-Bulk.

POSCAR file:
```
K2InH6Au
1.0
-0.630 1.942 5.378
-5.577 -1.411 0.008
-2.179 -3.380 4.118
H Au In K
6 1 1 2
Direct
0.255 0.255 0.001 H
0.745 0.745 0.999 H
0.732 0.268 0.000 H
0.733 0.733 0.534 H
0.268 0.732 0.000 H
0.267 0.267 0.466 H
0.500 0.500 0.000 Au
0.000 0.000 0.000 In
0.750 0.250 0.500 K
0.250 0.750 0.500 K
```

raw total energy	-2.877	eV/atom